(1)
The following is a DFT calculation (PBE) of an optimized crystal structure of CrRu2Br.

```
data_CrRu2Br
_chemical_formula_sum 'Cr1 Ru2 Br1'
_space_group_name_H-M_alt 'P 1'
_space_group_IT_number 1
_cell_length_a 4.091
_cell_length_b 2.943
_cell_length_c 5.300
_cell_angle_alpha 72.27
_cell_angle_beta 90.00
_cell_angle_gamma 90.00
loop_
_space_group_symop_operation_xyz
'x,y,z'
loop_
_atom_site_label
_atom_site_fract_x
_atom_site_fract_y
_atom_site_fract_z
_atom_site_occupancy
Br1 0.500 0.250 0.250 1
Cr1 0.500 0.750 0.750 1
Ru1 0.000 0.134 0.001 1
Ru2 0.000 0.366 0.499 1
```

Properties
- formation energy without anion corrections (eV per atom) = 0.738
- excess energy over the best structure of this formula in the dataset (eV/atom) = 0.2225
- calculated volume (Å³ per atom) = 15.2
- space-group type = No. 10


(2)
The following is a DFT calculation (PBE) of an optimized crystal structure of AcThSn6.

```
data_AcThSn6
_chemical_formula_sum 'Ac1 Th1 Sn6'
_space_group_name_H-M_alt 'P 1'
_space_group_IT_number 1
_cell_length_a 4.829
_cell_length_b 4.829
_cell_length_c 9.680
_cell_angle_alpha 90.00
_cell_angle_beta 90.00
_cell_angle_gamma 90.00
loop_
_space_group_symop_operation_xyz
'x,y,z'
loop_
_atom_site_label
_atom_site_fract_x
_atom_site_fract_y
_atom_site_fract_z
_atom_site_occupancy
Ac1 0.000 0.000 0.000 1
Th1 0.000 0.000 0.500 1
Sn1 0.500 0.500 0.000 1
Sn2 0.500 0.500 0.500 1
Sn3 0.500 0.000 0.258 1
Sn4 0.500 0.000 0.742 1
Sn5 0.000 0.500 0.258 1
Sn6 0.000 0.500 0.742 1
```

Properties
- energy of formation (kJ/mol of formula units) = -365
- calculated volume (Å³ per atom) = 28.2
- space-group type = No. 123


(3)
The following is a DFT calculation (PBE) of an optimized crystal structure of Li3BiO3.

```
data_Li3BiO3
_chemical_formula_sum 'Li12 Bi4 O12'
_space_group_name_H-M_alt 'P 1'
_space_group_IT_number 1
_cell_length_a 7.177
_cell_length_b 7.177
_cell_length_c 7.177
_cell_angle_alpha 90.00
_cell_angle_beta 90.00
_cell_angle_gamma 90.00
loop_
_space_group_symop_operation_xyz
'x,y,z'
loop_
_atom_site_label
_atom_site_fract_x
_atom_site_fract_y
_atom_site_fract_z
_atom_site_occupancy
Li1 0.976 0.976 0.976 1
Li2 0.248 0.252 0.748 1
Li3 0.248 0.748 0.752 1
Li4 0.252 0.252 0.252 1
Li5 0.252 0.748 0.248 1
Li6 0.524 0.024 0.476 1
Li7 0.476 0.524 0.024 1
Li8 0.748 0.248 0.252 1
Li9 0.748 0.752 0.248 1
Li10 0.752 0.248 0.748 1
Li11 0.752 0.752 0.752 1
Li12 0.024 0.476 0.524 1
Bi1 0.033 0.967 0.467 1
Bi2 0.467 0.033 0.967 1
Bi3 0.533 0.533 0.533 1
Bi4 0.967 0.467 0.033 1
O1 0.997 0.252 0.381 1
O2 0.119 0.003 0.752 1
O3 0.252 0.381 0.997 1
O4 0.248 0.619 0.497 1
O5 0.381 0.997 0.252 1
O6 0.503 0.748 0.881 1
O7 0.497 0.248 0.619 1
O8 0.619 0.497 0.248 1
O9 0.752 0.119 0.003 1
O10 0.748 0.881 0.503 1
O11 0.881 0.503 0.748 1
O12 0.003 0.752 0.119 1
```

Properties
- formation energy without anion corrections (eV per atom) = -1.566
- excess energy over the best structure of this formula in the dataset (eV/atom) = 0.0934
- calculated volume (Å³ per atom) = 13.2
- space-group type = No. 198


(4)
The following is a DFT calculation (PBE) of an optimized crystal structure of Cs2RbCu2I6.

```
data_Cs2RbCu2I6
_chemical_formula_sum 'Cs2 Rb1 Cu2 I6'
_space_group_name_H-M_alt 'P 1'
_space_group_IT_number 1
_cell_length_a 7.916
_cell_length_b 8.357
_cell_length_c 10.525
_cell_angle_alpha 112.10
_cell_angle_beta 90.00
_cell_angle_gamma 118.27
loop_
_space_group_symop_operation_xyz
'x,y,z'
loop_
_atom_site_label
_atom_site_fract_x
_atom_site_fract_y
_atom_site_fract_z
_atom_site_occupancy
Cs1 0.696 0.393 0.203 1
Cs2 0.304 0.607 0.797 1
Rb1 0.500 0.000 0.500 1
Cu1 0.959 0.919 0.754 1
Cu2 0.041 0.081 0.246 1
I1 0.773 0.546 0.615 1
I2 0.187 0.860 0.172 1
I3 0.328 0.140 0.828 1
I4 0.813 0.140 0.828 1
I5 0.672 0.860 0.172 1
I6 0.227 0.454 0.385 1
```

Properties
- formation energy without anion corrections (eV per atom) = -0.881
- calculated volume (Å³ per atom) = 50.4
- space-group type = No. 12


For reference, final energy by record: -6.724 -4.915 -5.065 -2.714 eV/atom.